The following is a PBE calculation of crystalline La12Y2Ho at its relaxed geometry, from Alexandria.

a b c (Å): 6.945 6.945 25.093
angles (deg): 90.00 90.00 116.98
Sites, in units of the cell vectors:
La: 0.004 0.504 0.132
La: 0.004 0.996 0.928
La: 0.023 0.523 0.583
La: 0.029 0.971 0.441
La: 0.250 0.250 0.199
La: 0.250 0.250 0.325
La: 0.250 0.250 0.675
La: 0.250 0.250 0.801
La: 0.471 0.529 0.441
La: 0.477 0.977 0.583
La: 0.496 0.504 0.928
La: 0.496 0.996 0.132
La: 0.504 0.004 0.868
La: 0.504 0.496 0.072
La: 0.523 0.023 0.417
La: 0.529 0.471 0.559
La: 0.750 0.750 0.199
La: 0.750 0.750 0.325
La: 0.750 0.750 0.675
La: 0.750 0.750 0.801
La: 0.971 0.029 0.559
La: 0.977 0.477 0.417
La: 0.996 0.004 0.072
La: 0.996 0.496 0.868
Y: 0.250 0.750 0.274
Y: 0.250 0.750 0.731
Y: 0.750 0.250 0.269
Y: 0.750 0.250 0.726
Ho: 0.250 0.750 0.001
Ho: 0.750 0.250 0.999

Computed properties:
DFT total energy = -4.9822 eV/atom
DOS at the Fermi energy = 22.395 states/eV/f.u.
magnetic moment = 0.0 μB/f.u.